1.
Here is crystalline Ag4Hg5 at its relaxed geometry from Alexandria. Energies are from PBE.

Output
Its symmetry is I4/mmm. The calculation puts the energy of formation at 0.9 eV/f.u. As for the crystal system: tetragonal.

a = 9.2545 Å, b = 9.2545 Å, c = 6.9040 Å
α = 47.92°, β = 47.92°, γ = 90.00°
With the nearest neighbours (Å) after each atom.
Fractional positions:
Ag: 0.0000 0.3439 0.0000  5 Ag 2.89-3.00, 7 Hg 3.05-3.18
Ag: 0.0000 0.6561 0.0000  5 Ag 2.89-3.00, 7 Hg 3.05-3.18
Ag: 0.3439 0.0000 0.0000  5 Ag 2.89-3.00, 7 Hg 3.05-3.18
Ag: 0.6561 0.0000 0.0000  5 Ag 2.89-3.00, 7 Hg 3.05-3.18
Hg: 0.0000 0.0000 0.0000  8 Hg 3.13, 4 Ag 3.18
Hg: 0.3297 0.3297 0.0000  6 Hg 3.03-3.15, 6 Ag 3.05-3.15
Hg: 0.3297 0.6703 0.0000  6 Hg 3.03-3.15, 6 Ag 3.05-3.15
Hg: 0.6703 0.3297 0.0000  6 Hg 3.03-3.15, 6 Ag 3.05-3.15
Hg: 0.6703 0.6703 0.0000  6 Hg 3.03-3.15, 6 Ag 3.05-3.15

2.
Here is crystalline Ag3Hg at its relaxed geometry from Alexandria. Energies are from PBE.

Output
Its symmetry is Fm-3m. The calculation puts the energy of formation at 0.3 eV/f.u. As for the crystal system: cubic.

a = 4.7624 Å, b = 4.7624 Å, c = 4.7624 Å
α = 60.00°, β = 60.00°, γ = 60.00°
With the nearest neighbours (Å) after each atom.
Fractional positions:
Hg: 0.2500 0.2500 0.2500  8 Ag 2.92
Ag: 0.0000 0.0000 0.0000  4 Ag 2.92, 4 Hg 2.92
Ag: 0.5000 0.5000 0.5000  4 Hg 2.92, 4 Ag 2.92
Ag: 0.7500 0.7500 0.7500  8 Ag 2.92

3.
Here is crystalline Ag2Hg5 at its relaxed geometry from Alexandria. Energies are from PBE.

Output
Its symmetry is P4/mbm. The calculation puts the energy of formation at 0.5 eV/f.u. As for the crystal system: tetragonal.

a = 10.1771 Å, b = 10.1771 Å, c = 3.0840 Å
α = 90.00°, β = 90.00°, γ = 90.00°
With the nearest neighbours (Å) after each atom.
Fractional positions:
Ag: 0.6833 0.1833 0.5000  10 Hg 3.04-3.14, 2 Ag 3.08
Ag: 0.1833 0.3167 0.5000  10 Hg 3.04-3.14, 2 Ag 3.08
Ag: 0.8167 0.6833 0.5000  10 Hg 3.04-3.14, 2 Ag 3.08
Ag: 0.3167 0.8167 0.5000  10 Hg 3.04-3.14, 2 Ag 3.08
Hg: 0.5000 0.0000 0.0000  4 Ag 3.06, 6 Hg 3.08-3.09
Hg: 0.2024 0.0598 0.0000  5 Hg 3.04-3.09, 4 Ag 3.04-3.14
Hg: 0.9402 0.2024 0.0000  5 Hg 3.04-3.09, 4 Ag 3.04-3.14
Hg: 0.4402 0.2976 0.0000  5 Hg 3.04-3.09, 4 Ag 3.04-3.14
Hg: 0.7024 0.4402 0.0000  5 Hg 3.04-3.09, 4 Ag 3.04-3.14
Hg: 0.0000 0.5000 0.0000  4 Ag 3.06, 6 Hg 3.08-3.09
Hg: 0.2976 0.5598 0.0000  5 Hg 3.04-3.09, 4 Ag 3.04-3.14
Hg: 0.5598 0.7024 0.0000  5 Hg 3.04-3.09, 4 Ag 3.04-3.14
Hg: 0.0598 0.7976 0.0000  5 Hg 3.04-3.09, 4 Ag 3.04-3.14
Hg: 0.7976 0.9402 0.0000  5 Hg 3.04-3.09, 4 Ag 3.04-3.14

no.,spin magnetization (μB/f.u.)
1,0.00
2,0.00
3,0.00